[1]
{"formula": "Tb3PrNd7", "functional": "GGA-PBE", "state": "relaxed", "formation_enthalpy_0k_kj_per_mol_atoms": 20.80, "dft_energy_ev_per_atom": -4.516, "e_above_lowest_polymorph_mev_per_atom": 89, "spacegroup": "Immm (71)", "lattice": [[5.972, -0.191, -0.245], [-2.684, 8.112, 1.080], [-2.684, -0.919, 8.132]], "species": ["Tb", "Tb", "Tb", "Pr", "Nd", "Nd", "Nd", "Nd", "Nd", "Nd", "Nd"], "frac_coords": [[0.000, 0.797, 0.203], [0.500, 0.000, 0.000], [0.000, 0.203, 0.797], [0.500, 0.500, 0.500], [0.208, 0.209, 0.209], [0.301, 0.006, 0.597], [0.699, 0.403, 0.994], [0.301, 0.597, 0.006], [0.000, 0.500, 0.500], [0.699, 0.994, 0.403], [0.792, 0.791, 0.791]]}

=====

[2]
{"formula": "Tb2Pr3Nd", "functional": "GGA-PBE", "state": "relaxed", "formation_enthalpy_0k_kj_per_mol_atoms": 30.17, "dft_energy_ev_per_atom": -4.415, "e_above_lowest_polymorph_mev_per_atom": 300, "spacegroup": "Immm (71)", "lattice": [[3.524, 0.000, 0.000], [0.000, 6.054, 0.000], [-1.762, -3.027, 9.917]], "species": ["Tb", "Tb", "Pr", "Pr", "Pr", "Nd"], "frac_coords": [[0.638, 0.638, 0.276], [0.362, 0.362, 0.724], [0.000, 0.500, 0.000], [0.810, 0.810, 0.620], [0.190, 0.190, 0.380], [0.000, 0.000, 0.000]]}

=====

[3]
{"formula": "TbPr8Nd4", "functional": "GGA-PBE", "state": "relaxed", "formation_enthalpy_0k_kj_per_mol_atoms": 37.15, "dft_energy_ev_per_atom": -4.379, "spacegroup": "R-3m (166)", "lattice": [[10.532, -0.001, -5.682], [-6.798, 9.848, -0.001], [-2.975, -2.053, 7.088]], "species": ["Tb", "Pr", "Pr", "Pr", "Pr", "Pr", "Pr", "Pr", "Pr", "Nd", "Nd", "Nd", "Nd"], "frac_coords": [[0.000, 0.500, 0.500], [0.513, 0.757, 0.270], [0.487, 0.243, 0.730], [0.335, 0.167, 0.004], [0.164, 0.331, 0.996], [0.665, 0.833, 0.996], [0.163, 0.833, 0.996], [0.837, 0.167, 0.004], [0.836, 0.669, 0.004], [0.000, 0.000, 0.000], [0.000, 0.500, 0.000], [0.500, 0.500, 0.000], [0.500, 0.000, 0.000]]}

=====

[4]
{"formula": "TbPr3Nd", "functional": "GGA-PBE", "state": "relaxed", "formation_enthalpy_0k_kj_per_mol_atoms": 17.24, "dft_energy_ev_per_atom": -4.569, "e_above_lowest_polymorph_mev_per_atom": 0, "spacegroup": "C2/m (12)", "lattice": [[1.240, 2.594, -6.318], [-1.385, -5.449, -2.509], [-7.917, 3.705, 3.781]], "species": ["Tb", "Tb", "Pr", "Pr", "Pr", "Pr", "Pr", "Pr", "Nd", "Nd"], "frac_coords": [[0.450, 0.700, 0.899], [0.550, 0.300, 0.101], [0.774, 0.525, 0.548], [0.580, 0.098, 0.695], [0.226, 0.475, 0.452], [0.114, 0.098, 0.695], [0.420, 0.902, 0.305], [0.886, 0.902, 0.305], [0.000, 0.500, 0.000], [0.000, 0.000, 0.000]]}